1.
## Nd2CdSb3Rh4 (PBE)

Data for a relaxed Nd2CdSb3Rh4 crystal.

Output
Fermi-level density of states	5.8	states/eV/cell
E_form (uncorrected)	-731	meV/atom

a = 4.4150 Å, b = 4.4150 Å, c = 11.0065 Å
α = 90.00°, β = 90.00°, γ = 90.00°
Closest atoms and distances in Å follow each position.
Positions (direct):
Sb  0.0000  0.0000  0.5000  4 Rh 2.68
Sb  0.5000  0.0000  0.8683  5 Rh 2.53-2.64
Sb  0.0000  0.5000  0.1317  5 Rh 2.53-2.64
Rh  0.5000  0.0000  0.6386  3 Sb 2.53-2.68, 2 Cd 2.68
Rh  0.0000  0.0000  0.0000  4 Sb 2.64
Rh  0.5000  0.5000  0.0000  4 Sb 2.64
Rh  0.0000  0.5000  0.3614  3 Sb 2.53-2.68, 2 Cd 2.68
Cd  0.5000  0.5000  0.5000  4 Rh 2.68
Nd  0.0000  0.5000  0.7493  8 Rh 3.35-3.53, 6 Sb 3.39-3.52, 2 Cd 3.52
Nd  0.5000  0.0000  0.2507  8 Rh 3.35-3.53, 6 Sb 3.39-3.52, 2 Cd 3.52

2.
## NdScCdRh (PBE)

Data for a relaxed NdScCdRh crystal.

Output
E_form	-0.43	eV/atom
Fermi-level density of states	2.1	states/eV/cell

a = 5.0169 Å, b = 5.0169 Å, c = 5.0169 Å
α = 60.00°, β = 60.00°, γ = 60.00°
Closest atoms and distances in Å follow each position.
Positions (direct):
Cd  0.7500  0.7500  0.7500  4 Nd 3.07, 4 Sc 3.07
Sc  0.0000  0.0000  0.0000  4 Rh 3.07, 4 Cd 3.07
Nd  0.5000  0.5000  0.5000  4 Cd 3.07, 4 Rh 3.07
Rh  0.2500  0.2500  0.2500  4 Nd 3.07, 4 Sc 3.07

3.
## Nd2CdSi2Rh5 (PBE)

Data for a relaxed Nd2CdSi2Rh5 crystal.

Output
Fermi-level density of states	5.8	states/eV/cell
E_form (uncorrected)	-811	meV/atom

a = 3.5065 Å, b = 10.0362 Å, c = 10.0362 Å
α = 90.00°, β = 90.00°, γ = 90.00°
Closest atoms and distances in Å follow each position.
Positions (direct):
Si  0.0000  0.6219  0.8781  6 Rh 2.42-2.46
Si  0.0000  0.1219  0.6219  6 Rh 2.42-2.46
Si  0.0000  0.8781  0.3781  6 Rh 2.42-2.46
Si  0.0000  0.3781  0.1219  6 Rh 2.42-2.46
Nd  0.0000  0.6763  0.1763  3 Si 2.86-3.04, 10 Rh 3.06-3.19
Nd  0.0000  0.1763  0.3237  3 Si 2.86-3.04, 10 Rh 3.06-3.19
Nd  0.0000  0.3237  0.8237  3 Si 2.86-3.04, 10 Rh 3.06-3.19
Nd  0.0000  0.8237  0.6763  3 Si 2.86-3.04, 10 Rh 3.06-3.19
Rh  0.5000  0.0000  0.5000  4 Si 2.46
Rh  0.5000  0.4315  0.2794  2 Si 2.42
Rh  0.5000  0.5685  0.7206  2 Si 2.42
Rh  0.5000  0.7206  0.4315  2 Si 2.42
Rh  0.5000  0.5000  0.0000  4 Si 2.46
Rh  0.5000  0.2206  0.0685  2 Si 2.42
Rh  0.5000  0.2794  0.5685  2 Si 2.42
Rh  0.5000  0.9315  0.2206  2 Si 2.42
Rh  0.5000  0.7794  0.9315  2 Si 2.42
Rh  0.5000  0.0685  0.7794  2 Si 2.42
Cd  0.0000  0.5000  0.5000  8 Rh 2.91
Cd  0.0000  0.0000  0.0000  8 Rh 2.91

4.
## NdSmCdRh (PBE)

Data for a relaxed NdSmCdRh crystal.

Output
E_form	-0.44	eV/atom
Fermi-level density of states	2.2	states/eV/cell

a = 5.1928 Å, b = 5.1928 Å, c = 5.1928 Å
α = 60.00°, β = 60.00°, γ = 60.00°
Closest atoms and distances in Å follow each position.
Positions (direct):
Cd  0.7500  0.7500  0.7500  4 Sm 3.18, 4 Nd 3.18
Sm  0.0000  0.0000  0.0000  4 Rh 3.18, 4 Cd 3.18
Nd  0.5000  0.5000  0.5000  4 Cd 3.18, 4 Rh 3.18
Rh  0.2500  0.2500  0.2500  4 Nd 3.18, 4 Sm 3.18

5.
## Nd2CdSn3Rh4 (PBE)

Data for a relaxed Nd2CdSn3Rh4 crystal.

Output
E_form	-0.62	eV/atom
Fermi-level density of states	7.8	states/eV/cell

a = 4.4064 Å, b = 4.4064 Å, c = 11.1708 Å
α = 90.00°, β = 90.00°, γ = 90.00°
Closest atoms and distances in Å follow each position.
Positions (direct):
Rh  0.0000  0.5000  0.3588  3 Sn 2.58-2.71, 2 Cd 2.71
Rh  0.5000  0.5000  0.0000  4 Sn 2.63
Rh  0.0000  0.0000  0.0000  4 Sn 2.63
Rh  0.5000  0.0000  0.6412  3 Sn 2.58-2.71, 2 Cd 2.71
Sn  0.5000  0.0000  0.8721  5 Rh 2.58-2.63
Sn  0.0000  0.5000  0.1279  5 Rh 2.58-2.63
Sn  0.0000  0.0000  0.5000  4 Rh 2.71
Nd  0.0000  0.5000  0.7530  8 Rh 3.36-3.53, 6 Sn 3.39-3.58, 2 Cd 3.58
Nd  0.5000  0.0000  0.2470  8 Rh 3.36-3.53, 6 Sn 3.39-3.58, 2 Cd 3.58
Cd  0.5000  0.5000  0.5000  4 Rh 2.71

6.
## Nd4Tl2CdRh (PBE)

Data for a relaxed Nd4Tl2CdRh crystal.

Output
E_form	-0.41	eV/atom
Fermi-level density of states	6.0	states/eV/cell

a = 5.4187 Å, b = 5.4187 Å, c = 9.2381 Å
α = 72.95°, β = 72.95°, γ = 60.00°
Closest atoms and distances in Å follow each position.
Positions (direct):
Tl  0.7391  0.7391  0.7826  8 Nd 3.16-3.51
Tl  0.2609  0.2609  0.2174  8 Nd 3.16-3.51
Nd  0.6120  0.6120  0.1641  1 Rh 2.92, 3 Tl 3.16
Nd  0.1336  0.1336  0.5990  3 Rh 3.24, 4 Tl 3.32-3.51, 1 Cd 3.49, 3 Nd 3.57
Nd  0.8664  0.8664  0.4010  3 Rh 3.24, 4 Tl 3.32-3.51, 1 Cd 3.49, 3 Nd 3.57
Nd  0.3880  0.3880  0.8359  1 Rh 2.92, 3 Tl 3.16
Cd  0.0000  0.0000  0.0000  8 Nd 3.44-3.49, 6 Tl 3.65
Rh  0.5000  0.5000  0.5000  8 Nd 2.92-3.24

7.
## NdTlCdRh (PBE)

Data for a relaxed NdTlCdRh crystal.

Output
E_form	-0.22	eV/atom
Fermi-level density of states	3.1	states/eV/cell

a = 5.0561 Å, b = 5.0561 Å, c = 5.0561 Å
α = 60.00°, β = 60.00°, γ = 60.00°
Closest atoms and distances in Å follow each position.
Positions (direct):
Nd  0.0000  0.0000  0.0000  4 Tl 3.10, 4 Rh 3.10
Cd  0.5000  0.5000  0.5000  4 Rh 3.10, 4 Tl 3.10
Tl  0.7500  0.7500  0.7500  4 Cd 3.10, 4 Nd 3.10
Rh  0.2500  0.2500  0.2500  4 Nd 3.10, 4 Cd 3.10

8.
## NdZnCdRh (PBE)

Data for a relaxed NdZnCdRh crystal.

Output
E_form	-0.31	eV/atom
Fermi-level density of states	2.9	states/eV/cell

a = 4.8749 Å, b = 4.8749 Å, c = 4.8749 Å
α = 60.00°, β = 60.00°, γ = 60.00°
Closest atoms and distances in Å follow each position.
Positions (direct):
Cd  0.7500  0.7500  0.7500  4 Zn 2.99, 4 Rh 2.99
Nd  0.2500  0.2500  0.2500  4 Rh 2.99, 4 Zn 2.99
Zn  0.5000  0.5000  0.5000  4 Cd 2.99, 4 Nd 2.99
Rh  0.0000  0.0000  0.0000  4 Cd 2.99, 4 Nd 2.99

9.
## Nd2Zn5CdRh2 (PBE)

Data for a relaxed Nd2Zn5CdRh2 crystal.

Output
E_form	-0.36	eV/atom
Fermi-level density of states	14.7	states/eV/cell

a = 4.1241 Å, b = 9.7137 Å, c = 9.7137 Å
α = 90.00°, β = 90.00°, γ = 90.00°
Closest atoms and distances in Å follow each position.
Positions (direct):
Nd  0.0000  0.3188  0.8188  3 Rh 2.79-2.95
Nd  0.0000  0.1812  0.3188  3 Rh 2.79-2.95
Nd  0.0000  0.8188  0.6812  3 Rh 2.79-2.95
Nd  0.0000  0.6812  0.1812  3 Rh 2.79-2.95
Zn  0.5000  0.2125  0.0588  2 Rh 2.71, 3 Zn 2.85-3.03, 2 Cd 2.97
Zn  0.5000  0.7875  0.9412  2 Rh 2.71, 3 Zn 2.85-3.03, 2 Cd 2.97
Zn  0.5000  0.5000  0.0000  4 Rh 2.60, 4 Zn 2.85
Zn  0.5000  0.0000  0.5000  4 Rh 2.60, 4 Zn 2.85
Zn  0.5000  0.0588  0.7875  2 Rh 2.71, 3 Zn 2.85-3.03, 2 Cd 2.97
Zn  0.5000  0.7125  0.4412  2 Rh 2.71, 3 Zn 2.85-3.03, 2 Cd 2.97
Zn  0.5000  0.5588  0.7125  2 Rh 2.71, 3 Zn 2.85-3.03, 2 Cd 2.97
Zn  0.5000  0.9412  0.2125  2 Rh 2.71, 3 Zn 2.85-3.03, 2 Cd 2.97
Zn  0.5000  0.2875  0.5588  2 Rh 2.71, 3 Zn 2.85-3.03, 2 Cd 2.97
Zn  0.5000  0.4412  0.2875  2 Rh 2.71, 3 Zn 2.85-3.03, 2 Cd 2.97
Rh  0.0000  0.6156  0.8844  6 Zn 2.60-2.71, 1 Nd 2.79
Rh  0.0000  0.1156  0.6156  6 Zn 2.60-2.71, 1 Nd 2.79
Rh  0.0000  0.3844  0.1156  6 Zn 2.60-2.71, 1 Nd 2.79
Rh  0.0000  0.8844  0.3844  6 Zn 2.60-2.71, 1 Nd 2.79
Cd  0.0000  0.0000  0.0000  8 Zn 2.97
Cd  0.0000  0.5000  0.5000  8 Zn 2.97

10.
## Nd6Cd3Ru (PBE)

Data for a relaxed Nd6Cd3Ru crystal.

Output
E_form	-0.21	eV/atom
Fermi-level density of states	19.4	states/eV/cell

a = 5.4733 Å, b = 9.2854 Å, c = 11.7921 Å
α = 108.37°, β = 90.00°, γ = 90.00°
Closest atoms and distances in Å follow each position.
Positions (direct):
Ru  0.7500  0.0392  0.4083  8 Nd 2.90-3.23
Ru  0.2500  0.9608  0.5917  8 Nd 2.90-3.23
Nd  0.2500  0.2238  0.5013  3 Ru 2.96-3.23, 1 Cd 3.25
Nd  0.7500  0.7762  0.4987  3 Ru 2.96-3.23, 1 Cd 3.25
Nd  0.7500  0.5366  0.9162  7 Cd 3.17-3.50, 1 Nd 3.48
Nd  0.7500  0.9000  0.1512  1 Ru 2.90
Nd  0.7500  0.3156  0.3390  1 Ru 2.93, 3 Cd 3.23-3.24
Nd  0.2500  0.8511  0.3314  3 Ru 2.91-3.22
Nd  0.7500  0.8757  0.8486  4 Cd 3.31-3.67, 6 Nd 3.44-3.61
Nd  0.2500  0.1243  0.1514  4 Cd 3.31-3.67, 6 Nd 3.44-3.61
Nd  0.2500  0.1000  0.8488  1 Ru 2.90
Nd  0.2500  0.4634  0.0838  7 Cd 3.17-3.50, 1 Nd 3.48
Nd  0.2500  0.6844  0.6610  1 Ru 2.93, 3 Cd 3.23-3.24
Nd  0.7500  0.1489  0.6686  3 Ru 2.91-3.22
Cd  0.7500  0.4914  0.6328  6 Nd 3.23-3.48, 2 Cd 3.45
Cd  0.7500  0.2306  0.0295  9 Nd 3.31-3.50, 1 Cd 3.32
Cd  0.2500  0.5086  0.3672  6 Nd 3.23-3.48, 2 Cd 3.45
Cd  0.7500  0.5828  0.2161  6 Nd 3.17-3.43, 3 Cd 3.32-3.45
Cd  0.2500  0.7694  0.9705  9 Nd 3.31-3.50, 1 Cd 3.32
Cd  0.2500  0.4172  0.7839  6 Nd 3.17-3.43, 3 Cd 3.32-3.45

Q: Which of these has the highest Fermi-level density of states?
A: Nd6Cd3Ru

Q: Which of these has the lowest Fermi-level density of states?
A: NdScCdRh

Q: Among the records above, which one has the highest Fermi-level density of states?
A: Nd6Cd3Ru